1.
# BeMo5

A relaxed BeMo5 crystal (GGA-PBEsol, Alexandria).

- crystal system = cubic
- calculated volume (Å³ per cell) = 93.2
- formation energy (eV per atom) = 0.46
- theoretical density (g cm⁻³) = 8.706
- final energy (eV/atom) = -10.01
- Fermi-level density of states (states/eV/f.u.) = 2.49

abc: 5.0893 5.0893 5.0893
angles: 60.00 60.00 60.00
With the nearest neighbours (Å) after each atom.
Sites, in units of the cell vectors:
Be1 0.0000 0.0000 0.0000  16 Mo 2.98-3.12
Mo1 0.1234 0.6255 0.6255  6 Mo 2.53-2.56
Mo2 0.2500 0.2500 0.2500  12 Mo 2.99, 4 Be 3.12
Mo3 0.6255 0.1234 0.6255  6 Mo 2.53-2.56
Mo4 0.6255 0.6255 0.1234  6 Mo 2.53-2.56
Mo5 0.6255 0.6255 0.6255  6 Mo 2.53-2.56

2.
# Ta2BeCu

A relaxed Ta2BeCu crystal (GGA-PBEsol, Alexandria).

- crystal system = tetragonal
- calculated volume (Å³ per cell) = 55.0
- formation energy (eV per atom) = 0.01
- theoretical density (g cm⁻³) = 13.116
- final energy (eV/atom) = -8.35
- Fermi-level density of states (states/eV/f.u.) = 2.63

abc: 2.7527 2.7527 7.2592
angles: 90.00 90.00 90.00
With the nearest neighbours (Å) after each atom.
Sites, in units of the cell vectors:
Ta1 0.0000 0.0000 0.0000  8 Ta 2.75-3.04, 4 Cu 2.76
Ta2 0.5000 0.5000 0.3221  4 Be 2.63, 4 Ta 2.75
Be1 0.0000 0.0000 0.5664  4 Cu 2.28
Cu1 0.5000 0.5000 0.7307  4 Be 2.28

3.
# Li2VF6

A relaxed Li2VF6 crystal (GGA-PBEsol, Alexandria).

- crystal system = orthorhombic
- calculated volume (Å³ per cell) = 394.7
- energy above the most stable polymorph in this dataset (meV per atom) = 17
- theoretical density (g cm⁻³) = 3.009
- energy relative to the elements, uncorrected (eV per atom) = -2.925
- final energy (eV/atom) = -5.72
- Fermi-level density of states (states/eV/f.u.) = 7.52

abc: 9.4451 8.5626 4.8806
angles: 90.00 90.00 90.00
With the nearest neighbours (Å) after each atom.
Sites, in units of the cell vectors:
Li1 0.1024 0.1092 0.0000  6 F 1.92-2.15
Li2 0.1063 0.5479 0.5099  4 F 1.89-2.01
Li3 0.3937 0.0479 0.0099  4 F 1.89-2.01
Li4 0.3976 0.6092 0.5000  6 F 1.92-2.15
Li5 0.6024 0.3908 0.0000  6 F 1.92-2.15
Li6 0.6063 0.9521 0.5099  4 F 1.89-2.01
Li7 0.8937 0.4521 0.0099  4 F 1.89-2.01
Li8 0.8976 0.8908 0.5000  6 F 1.92-2.15
V1 0.1360 0.7550 0.0020  6 F 1.81-1.89
V2 0.3640 0.2550 0.5020  6 F 1.81-1.89
V3 0.6360 0.7450 0.0020  6 F 1.81-1.89
V4 0.8640 0.2450 0.5020  6 F 1.81-1.89
F1 0.0174 0.7485 0.6979  1 V 1.86, 1 Li 1.92
F2 0.0217 0.9036 0.1669  1 V 1.85, 1 Li 2.01
F3 0.0248 0.5947 0.1596  2 Li 1.89-1.92, 1 V 1.89
F4 0.2376 0.9220 0.8689  1 V 1.84, 1 Li 1.95
F5 0.2415 0.6121 0.8062  1 V 1.84, 1 Li 2.01
F6 0.2491 0.2353 0.7971  1 V 1.81, 1 Li 2.02
F7 0.2509 0.7353 0.2971  1 V 1.81, 1 Li 2.02
F8 0.2585 0.1121 0.3062  1 V 1.84, 1 Li 2.01
F9 0.2624 0.4220 0.3689  1 V 1.84, 1 Li 1.95
F10 0.4752 0.0947 0.6596  2 Li 1.89-1.92, 1 V 1.89
F11 0.4783 0.4036 0.6669  1 V 1.85, 1 Li 2.01
F12 0.4826 0.2485 0.1979  1 V 1.86, 1 Li 1.92
F13 0.5174 0.7515 0.6979  1 V 1.86, 1 Li 1.92
F14 0.5217 0.5964 0.1669  1 V 1.85, 1 Li 2.01
F15 0.5248 0.9053 0.1596  2 Li 1.89-1.92, 1 V 1.89
F16 0.7376 0.5780 0.8689  1 V 1.84, 1 Li 1.95
F17 0.7415 0.8879 0.8062  1 V 1.84, 1 Li 2.01
F18 0.7491 0.2647 0.7971  1 V 1.81, 1 Li 2.02
F19 0.7509 0.7647 0.2971  1 V 1.81, 1 Li 2.02
F20 0.7585 0.3879 0.3062  1 V 1.84, 1 Li 2.01
F21 0.7624 0.0780 0.3689  1 V 1.84, 1 Li 1.95
F22 0.9752 0.4053 0.6596  2 Li 1.89-1.92, 1 V 1.89
F23 0.9783 0.0964 0.6669  1 V 1.85, 1 Li 2.01
F24 0.9826 0.2515 0.1979  1 V 1.86, 1 Li 1.92

4.
# BaRu2Se

A relaxed BaRu2Se crystal (GGA-PBEsol, Alexandria).

- crystal system = monoclinic
- calculated volume (Å³ per cell) = 75.4
- theoretical density (g cm⁻³) = 9.213
- energy relative to the elements, uncorrected (eV per atom) = 0.752
- final energy (eV/atom) = -5.83
- Fermi-level density of states (states/eV/f.u.) = 4.80

abc: 5.5148 5.5148 3.1163
angles: 105.81 105.81 113.51
With the nearest neighbours (Å) after each atom.
Sites, in units of the cell vectors:
Ba1 0.0000 0.0000 0.0000  4 Ru 2.76, 4 Se 3.02-3.08
Ru1 0.0000 0.5000 0.0000  2 Se 2.76, 2 Ba 2.76, 4 Ru 3.02-3.08
Ru2 0.5000 0.0000 0.0000  2 Se 2.76, 2 Ba 2.76, 4 Ru 3.02-3.08
Se1 0.5000 0.5000 0.0000  4 Ru 2.76, 4 Ba 3.02-3.08

5.
# LiTc2N

A relaxed LiTc2N crystal (GGA-PBEsol, Alexandria).

- crystal system = tetragonal
- calculated volume (Å³ per cell) = 92.8
- theoretical density (g cm⁻³) = 7.768
- energy relative to the elements, uncorrected (eV per atom) = 0.019
- final energy (eV/atom) = -8.24
- Fermi-level density of states (states/eV/f.u.) = 2.54

abc: 5.1868 5.1868 5.1868
angles: 98.89 98.89 133.71
With the nearest neighbours (Å) after each atom.
Sites, in units of the cell vectors:
Li1 0.0000 0.0000 0.0000  2 N 2.04
Li2 0.7500 0.2500 0.5000  2 N 2.04
Tc1 0.2309 0.1250 0.6059  2 N 2.01
Tc2 0.3750 0.7691 0.8941  2 N 2.01
Tc3 0.5191 0.6250 0.3941  2 N 2.01
Tc4 0.8750 0.4809 0.1059  2 N 2.01
N1 0.2500 0.7500 0.5000  4 Tc 2.01, 2 Li 2.04
N2 0.5000 0.5000 0.0000  4 Tc 2.01, 2 Li 2.04

6.
# Pt2Pb

A relaxed Pt2Pb crystal (GGA-PBEsol, Alexandria).

- crystal system = orthorhombic
- calculated volume (Å³ per cell) = 113.0
- formation energy (eV per atom) = -0.07
- theoretical density (g cm⁻³) = 17.553
- final energy (eV/atom) = -6.05
- Fermi-level density of states (states/eV/f.u.) = 1.77

abc: 5.4660 5.4660 5.4102
angles: 90.00 90.00 135.64
With the nearest neighbours (Å) after each atom.
Sites, in units of the cell vectors:
Pt1 0.0186 0.9814 0.5000  6 Pt 2.68-2.73, 2 Pb 2.99
Pt2 0.3964 0.6036 0.2837  4 Pt 2.68-2.71, 4 Pb 2.83-2.90
Pt3 0.6036 0.3964 0.7837  4 Pt 2.68-2.71, 4 Pb 2.83-2.90
Pt4 0.9814 0.0186 0.0000  6 Pt 2.68-2.73, 2 Pb 2.99
Pb1 0.3044 0.6956 0.7769  7 Pt 2.83-3.03
Pb2 0.6956 0.3044 0.2769  7 Pt 2.83-3.03

7.
# LiAlNi2

A relaxed LiAlNi2 crystal (GGA-PBEsol, Alexandria).

- crystal system = orthorhombic
- calculated volume (Å³ per cell) = 45.5
- formation energy (eV per atom) = -0.28
- theoretical density (g cm⁻³) = 5.525
- final energy (eV/atom) = -4.87
- Fermi-level density of states (states/eV/f.u.) = 1.84

abc: 4.8102 4.8102 4.8102
angles: 146.86 131.04 60.41
With the nearest neighbours (Å) after each atom.
Sites, in units of the cell vectors:
Li1 0.0000 0.0000 0.0000  6 Ni 2.42-2.48, 2 Al 2.63
Al1 0.7297 0.2297 0.5000  6 Ni 2.42, 2 Li 2.63
Ni1 0.2482 0.7482 0.5000  4 Al 2.42, 2 Ni 2.43, 2 Li 2.48
Ni2 0.4896 0.4896 0.0000  4 Li 2.42, 2 Al 2.42, 2 Ni 2.43

8.
# Zr3AgIr

A relaxed Zr3AgIr crystal (GGA-PBEsol, Alexandria).

- crystal system = cubic
- calculated volume (Å³ per cell) = 119.6
- formation energy (eV per atom) = 1.26
- theoretical density (g cm⁻³) = 7.964
- final energy (eV/atom) = -6.82
- Fermi-level density of states (states/eV/f.u.) = 7.54

abc: 4.9274 4.9274 4.9274
angles: 90.00 90.00 90.00
With the nearest neighbours (Å) after each atom.
Sites, in units of the cell vectors:
Zr1 0.0000 0.0000 0.5000  2 Ag 2.46
Zr2 0.0000 0.5000 0.0000  2 Ag 2.46
Zr3 0.5000 0.0000 0.0000  2 Ag 2.46
Ag1 0.0000 0.0000 0.0000  6 Zr 2.46
Ir1 0.5000 0.5000 0.5000  12 Zr 3.48

9.
# NiHgTe2N

A relaxed NiHgTe2N crystal (GGA-PBEsol, Alexandria).

- crystal system = tetragonal
- calculated volume (Å³ per cell) = 122.7
- theoretical density (g cm⁻³) = 7.152
- energy relative to the elements, uncorrected (eV per atom) = 1.583
- final energy (eV/atom) = -2.88
- Fermi-level density of states (states/eV/f.u.) = 6.03

abc: 5.6167 5.6167 3.8896
angles: 90.00 90.00 90.00
With the nearest neighbours (Å) after each atom.
Sites, in units of the cell vectors:
Ni1 0.0000 0.0000 0.0000  8 Te 3.42
Hg1 0.5000 0.5000 0.5000  2 N 1.94
Te1 0.0000 0.5000 0.5000  2 Hg 2.81
Te2 0.5000 0.0000 0.5000  2 Hg 2.81
N1 0.5000 0.5000 0.0000  2 Hg 1.94

10.
# Co2TcPt

A relaxed Co2TcPt crystal (GGA-PBEsol, Alexandria).

- crystal system = monoclinic
- calculated volume (Å³ per cell) = 51.6
- energy above the most stable polymorph in this dataset (meV per atom) = 230
- formation energy (eV per atom) = 0.21
- theoretical density (g cm⁻³) = 13.223
- final energy (eV/atom) = -8.22
- Fermi-level density of states (states/eV/f.u.) = 5.66

abc: 2.5730 4.2647 4.7043
angles: 90.00 91.34 90.00
With the nearest neighbours (Å) after each atom.
Sites, in units of the cell vectors:
Co1 0.1627 0.0000 0.2332  3 Co 2.33-2.57, 2 Pt 2.51, 2 Tc 2.56
Co2 0.8373 0.0000 0.7668  3 Co 2.33-2.57, 2 Pt 2.51, 2 Tc 2.56
Tc1 0.5000 0.5000 0.0000  4 Co 2.56, 2 Tc 2.57, 4 Pt 2.65-2.71
Pt1 0.0000 0.5000 0.5000  4 Co 2.51, 2 Pt 2.57, 4 Tc 2.65-2.71

11.
# Al2CoTe

A relaxed Al2CoTe crystal (GGA-PBEsol, Alexandria).

- crystal system = orthorhombic
- calculated volume (Å³ per cell) = 66.2
- theoretical density (g cm⁻³) = 6.032
- energy relative to the elements, uncorrected (eV per atom) = 0.238
- final energy (eV/atom) = -4.62
- Fermi-level density of states (states/eV/f.u.) = 2.93

abc: 4.5994 4.5994 3.3682
angles: 90.00 90.00 111.70
With the nearest neighbours (Å) after each atom.
Sites, in units of the cell vectors:
Al1 0.0000 0.5000 0.0000  2 Al 2.58, 4 Co 2.85, 4 Te 2.85
Al2 0.5000 0.0000 0.0000  2 Al 2.58, 4 Co 2.85, 4 Te 2.85
Co1 0.0000 0.0000 0.5000  2 Te 2.58, 8 Al 2.85
Te1 0.5000 0.5000 0.5000  2 Co 2.58, 8 Al 2.85

12.
# MgTa2W

A relaxed MgTa2W crystal (GGA-PBEsol, Alexandria).

- crystal system = orthorhombic
- calculated volume (Å³ per cell) = 69.8
- formation energy (eV per atom) = 0.35
- theoretical density (g cm⁻³) = 13.569
- final energy (eV/atom) = -9.81
- Fermi-level density of states (states/eV/f.u.) = 3.83

abc: 5.2240 5.2240 5.2240
angles: 141.28 127.41 67.19
With the nearest neighbours (Å) after each atom.
Sites, in units of the cell vectors:
Mg1 0.0000 0.0000 0.0000  4 W 2.89, 8 Ta 2.90-3.08
Ta1 0.2670 0.7670 0.5000  2 W 2.67, 2 Mg 2.90, 4 Ta 2.91
Ta2 0.7330 0.2330 0.5000  2 W 2.67, 2 Mg 2.90, 4 Ta 2.91
W1 0.5000 0.5000 0.0000  4 Ta 2.67, 4 Mg 2.89